First-principles (PBE) data for crystalline LiSiBr4 at its relaxed geometry, as listed in the Alexandria database.

Computed properties:
formation energy without anion corrections: -0.749 eV/atom
calculated total energy: -3.087 eV per atom
offset from the most stable computed form: 0.0 meV/atom

```
data_LiSiBr4
_cell_length_a 6.366
_cell_length_b 6.366
_cell_length_c 10.739
_cell_angle_alpha 90.00
_cell_angle_beta 90.00
_cell_angle_gamma 90.00
_symmetry_space_group_name_H-M 'I -4'
_symmetry_Int_Tables_number 82
_symmetry_space_group_name_Hall 'I -4'
loop_
_atom_site_label
_atom_site_type_symbol
_atom_site_fract_x
_atom_site_fract_y
_atom_site_fract_z
_atom_site_occupancy
Li1 Li 0.000 0.000 0.000 1
Si1 Si 0.000 0.500 0.250 1
Br1 Br 0.216 0.270 0.125 1
```